Record 1
Computed, not measured: a geometry-optimized Mg2AlCr structure at the GGA-PBEsol level of DFT.

Values from the calculation:
Formation energy from the elements, meV per atom: 275.7
ρ, g cm⁻³: 3.08

Unit cell a=3.3122 b=5.3597 c=4.5615 alpha=115.15 beta=90.00 gamma=108.00
Last column: nearest neighbours and their distance in Å.
Atoms (fractional coordinates):
Al1 0.5195 0.0390 0.5200  2 Cr 2.58, 4 Mg 2.83
Cr1 0.2368 0.4736 0.7363  2 Al 2.58, 6 Mg 2.82
Mg1 0.9864 0.9729 0.9870  2 Cr 2.82, 4 Al 2.83, 4 Mg 2.97-3.10
Mg2 0.7573 0.5146 0.2567  4 Cr 2.82, 4 Al 2.91-3.15, 4 Mg 2.97-3.10

Record 2
Computed, not measured: a geometry-optimized BeRe2Hg structure at the GGA-PBEsol level of DFT.

Values from the calculation:
Formation energy from the elements, meV per atom: 431.8
ρ, g cm⁻³: 16.98

Unit cell a=2.8932 b=2.8932 c=6.8005 alpha=90.00 beta=90.00 gamma=90.00
Last column: nearest neighbours and their distance in Å.
Atoms (fractional coordinates):
Re1 0.0000 0.0000 0.8199  4 Be 2.38, 1 Re 2.45
Re2 0.0000 0.0000 0.1801  4 Be 2.38, 1 Re 2.45
Hg1 0.5000 0.5000 0.5000  4 Hg 2.89, 8 Re 2.99
Be1 0.5000 0.5000 0.0000  8 Re 2.38

Record 3
Computed, not measured: a geometry-optimized Al2Cu structure at the GGA-PBEsol level of DFT.

Values from the calculation:
Formation energy from the elements, meV per atom: -92.0
ρ, g cm⁻³: 4.57

Unit cell a=2.7773 b=2.7773 c=5.8703 alpha=103.68 beta=103.68 gamma=90.00
Last column: nearest neighbours and their distance in Å.
Atoms (fractional coordinates):
Al1 0.3467 0.3467 0.6933  4 Cu 2.60, 8 Al 2.78-2.90
Al2 0.6533 0.6533 0.3067  4 Cu 2.60, 8 Al 2.78-2.90
Cu1 0.0000 0.0000 0.0000  8 Al 2.60, 4 Cu 2.78

Record 4
Computed, not measured: a geometry-optimized Cu3PtF structure at the GGA-PBEsol level of DFT.

Values from the calculation:
ρ, g cm⁻³: 10.72

Unit cell a=3.9721 b=3.9721 c=3.9721 alpha=90.00 beta=90.00 gamma=90.00
Last column: nearest neighbours and their distance in Å.
Atoms (fractional coordinates):
Cu1 0.0000 0.5000 0.0000  2 F 1.99
Cu2 0.0000 0.0000 0.5000  2 F 1.99
Cu3 0.5000 0.0000 0.0000  2 F 1.99
Pt1 0.5000 0.5000 0.5000  12 Cu 2.81
F1 0.0000 0.0000 0.0000  6 Cu 1.99

Record 5
Computed, not measured: a geometry-optimized CsScCl3 structure at the GGA-PBEsol level of DFT.

Values from the calculation:
ρ, g cm⁻³: 3.44

Unit cell a=5.8741 b=7.3477 c=7.3477 alpha=120.00 beta=90.00 gamma=90.00
Last column: nearest neighbours and their distance in Å.
Atoms (fractional coordinates):
Cl1 0.7500 0.8355 0.6710  2 Sc 2.56
Cl2 0.7500 0.8355 0.1645  2 Sc 2.56
Cl3 0.7500 0.3290 0.1645  2 Sc 2.56
Cl4 0.2500 0.1645 0.3290  2 Sc 2.56
Cl5 0.2500 0.1645 0.8355  2 Sc 2.56
Cl6 0.2500 0.6710 0.8355  2 Sc 2.56
Cs1 0.2500 0.6667 0.3333  12 Cl 3.64-3.67
Cs2 0.7500 0.3333 0.6667  12 Cl 3.64-3.67
Sc1 0.0000 0.0000 0.0000  6 Cl 2.56
Sc2 0.5000 0.0000 0.0000  6 Cl 2.56

Record 6
Computed, not measured: a geometry-optimized ZnCu2Ni structure at the GGA-PBEsol level of DFT.

Values from the calculation:
Formation energy from the elements, meV per atom: -72.2
ρ, g cm⁻³: 9.11

Unit cell a=2.6725 b=4.1128 c=4.8330 alpha=115.18 beta=106.05 gamma=90.00
Last column: nearest neighbours and their distance in Å.
Atoms (fractional coordinates):
Ni1 0.5000 0.0000 0.0000  4 Zn 2.45, 4 Cu 2.46, 2 Ni 2.67
Zn1 0.0000 0.5000 0.0000  4 Ni 2.45, 4 Cu 2.48, 2 Zn 2.67
Cu1 0.7514 0.7514 0.5028  6 Cu 2.45-2.67, 2 Ni 2.46, 2 Zn 2.48
Cu2 0.2486 0.2486 0.4972  6 Cu 2.45-2.67, 2 Ni 2.46, 2 Zn 2.48

Record 7
Computed, not measured: a geometry-optimized AsPBr2 structure at the GGA-PBEsol level of DFT.

Values from the calculation:
ρ, g cm⁻³: 4.12

Unit cell a=3.7032 b=3.9164 c=7.3853 alpha=87.58 beta=90.00 gamma=90.00
Last column: nearest neighbours and their distance in Å.
Atoms (fractional coordinates):
P1 0.0000 0.0483 0.6353  1 Br 2.24, 2 As 2.44
As1 0.5000 0.4556 0.6223  1 Br 2.35, 2 P 2.44
Br1 0.0000 0.9928 0.9388  1 P 2.24
Br2 0.5000 0.5033 0.3036  1 As 2.35

Record 8
Computed, not measured: a geometry-optimized RbHfTa3 structure at the GGA-PBEsol level of DFT.

Values from the calculation:
Formation energy from the elements, meV per atom: 2777.6
ρ, g cm⁻³: 12.50

Unit cell a=4.7505 b=4.7505 c=4.7505 alpha=90.00 beta=90.00 gamma=90.00
Last column: nearest neighbours and their distance in Å.
Atoms (fractional coordinates):
Hf1 0.5000 0.5000 0.5000  12 Ta 3.36
Rb1 0.0000 0.0000 0.0000  6 Ta 2.38
Ta1 0.0000 0.5000 0.0000  2 Rb 2.38
Ta2 0.0000 0.0000 0.5000  2 Rb 2.38
Ta3 0.5000 0.0000 0.0000  2 Rb 2.38

Record 9
Computed, not measured: a geometry-optimized Ti2VTe4 structure at the GGA-PBEsol level of DFT.

Values from the calculation:
ρ, g cm⁻³: 6.93

Unit cell a=3.7097 b=6.8575 c=7.2690 alpha=117.27 beta=104.78 gamma=90.00
Last column: nearest neighbours and their distance in Å.
Atoms (fractional coordinates):
Te1 0.1063 0.4543 0.2126  2 V 2.67, 2 Ti 2.68-2.73
Te2 0.8944 0.5539 0.7889  1 V 2.65, 3 Ti 2.70-2.71
Te3 0.3619 0.0340 0.7237  2 V 2.78, 3 Ti 2.78-2.93
Te4 0.6370 0.9562 0.2739  4 Ti 2.78-2.82, 1 V 2.88
Ti1 0.0015 0.0024 0.0029  6 Te 2.71-2.78
Ti2 0.2487 0.2992 0.4974  6 Te 2.68-2.93
V1 0.7503 0.7000 0.5006  6 Te 2.65-2.88

Record 10
Computed, not measured: a geometry-optimized TlPbCl2 structure at the GGA-PBEsol level of DFT.

Values from the calculation:
ρ, g cm⁻³: 6.97

Unit cell a=4.2369 b=4.2369 c=6.4033 alpha=90.00 beta=90.00 gamma=90.00
Last column: nearest neighbours and their distance in Å.
Atoms (fractional coordinates):
Pb1 0.0000 0.0000 0.3979  5 Cl 2.83-3.04
Tl1 0.5000 0.5000 0.8280  6 Cl 3.11-3.26
Cl1 0.0000 0.0000 0.9558  1 Pb 2.83, 4 Tl 3.11
Cl2 0.5000 0.5000 0.3182  4 Pb 3.04, 2 Tl 3.14-3.26

Record 11
Computed, not measured: a geometry-optimized SrIr2W structure at the GGA-PBEsol level of DFT.

Values from the calculation:
Formation energy from the elements, meV per atom: 387.3
ρ, g cm⁻³: 15.21

Unit cell a=2.7987 b=4.8257 c=5.9915 alpha=113.75 beta=103.51 gamma=90.00
Last column: nearest neighbours and their distance in Å.
Atoms (fractional coordinates):
Ir1 0.9992 0.9992 0.9983  2 W 2.65, 4 Ir 2.71-2.80, 4 Sr 2.79
Ir2 0.7185 0.2185 0.4369  4 Ir 2.71-2.80, 4 W 2.88
Sr1 0.4955 0.4955 0.9910  4 Ir 2.79, 2 Sr 2.80
W1 0.2869 0.7869 0.5737  6 Ir 2.65-2.88, 2 W 2.80

Record 12
Computed, not measured: a geometry-optimized Zr5SnPb3 structure at the GGA-PBEsol level of DFT.

Values from the calculation:
Formation energy from the elements, meV per atom: -430.7
ρ, g cm⁻³: 9.92

Unit cell a=5.9509 b=8.8162 c=8.8162 alpha=120.00 beta=90.00 gamma=90.00
Last column: nearest neighbours and their distance in Å.
Atoms (fractional coordinates):
Zr1 0.5000 0.6667 0.3333  2 Zr 2.98, 6 Pb 3.12
Zr2 0.5000 0.3333 0.6667  2 Zr 2.98, 6 Pb 3.12
Zr3 0.0000 0.3333 0.6667  2 Zr 2.98, 6 Pb 3.12
Zr4 0.0000 0.6667 0.3333  2 Zr 2.98, 6 Pb 3.12
Zr5 0.7500 0.2788 0.2788  2 Sn 2.87, 5 Pb 2.96-3.12
Zr6 0.7500 0.0000 0.7212  2 Sn 2.87, 5 Pb 2.96-3.12
Zr7 0.7500 0.7212 0.0000  2 Sn 2.87, 5 Pb 2.96-3.12
Zr8 0.2500 0.7212 0.7212  2 Sn 2.87, 5 Pb 2.96-3.12
Zr9 0.2500 0.0000 0.2788  2 Sn 2.87, 5 Pb 2.96-3.12
Zr10 0.2500 0.2788 0.0000  2 Sn 2.87, 5 Pb 2.96-3.12
Sn1 0.5000 0.0000 0.0000  6 Zr 2.87, 2 Sn 2.98
Sn2 0.0000 0.0000 0.0000  6 Zr 2.87, 2 Sn 2.98
Pb1 0.7500 0.6147 0.6147  9 Zr 2.96-3.12
Pb2 0.7500 0.0000 0.3853  9 Zr 2.96-3.12
Pb3 0.7500 0.3853 0.0000  9 Zr 2.96-3.12
Pb4 0.2500 0.3853 0.3853  9 Zr 2.96-3.12
Pb5 0.2500 0.0000 0.6147  9 Zr 2.96-3.12
Pb6 0.2500 0.6147 0.0000  9 Zr 2.96-3.12

Record 13
Computed, not measured: a geometry-optimized Pr2CdPb structure at the GGA-PBEsol level of DFT.

Values from the calculation:
Formation energy from the elements, meV per atom: -474.9
ρ, g cm⁻³: 8.80

Unit cell a=5.4354 b=5.4354 c=5.4354 alpha=60.00 beta=60.00 gamma=60.00
Last column: nearest neighbours and their distance in Å.
Atoms (fractional coordinates):
Pb1 0.0000 0.0000 0.0000  8 Pr 3.33
Pr1 0.7500 0.7500 0.7500  4 Cd 3.33, 4 Pb 3.33
Pr2 0.2500 0.2500 0.2500  4 Cd 3.33, 4 Pb 3.33
Cd1 0.5000 0.5000 0.5000  8 Pr 3.33

Record 14
Computed, not measured: a geometry-optimized PmNi3 structure at the GGA-PBEsol level of DFT.

Values from the calculation:
Formation energy from the elements, meV per atom: -178.5
ρ, g cm⁻³: 9.05

Unit cell a=4.1763 b=5.7081 c=5.7081 alpha=120.00 beta=90.00 gamma=90.00
Last column: nearest neighbours and their distance in Å.
Atoms (fractional coordinates):
Pm1 0.7500 0.3333 0.6667  12 Ni 2.83-2.87
Pm2 0.2500 0.6667 0.3333  12 Ni 2.83-2.87
Ni1 0.2500 0.7187 0.8594  6 Ni 2.41-2.51
Ni2 0.2500 0.1406 0.2813  6 Ni 2.41-2.51
Ni3 0.2500 0.1406 0.8594  6 Ni 2.41-2.51
Ni4 0.7500 0.2813 0.1406  6 Ni 2.41-2.51
Ni5 0.7500 0.8594 0.7187  6 Ni 2.41-2.51
Ni6 0.7500 0.8594 0.1406  6 Ni 2.41-2.51

Number 1: density of states at the Fermi level 0.633 states/eV/atom, electronic total energy -16.7 eV for the cell shown. Number 2: density of states at the Fermi level 0.635 states/eV/atom, electronic total energy -29.5 eV for the cell shown. Number 3: density of states at the Fermi level 0.385 states/eV/atom, electronic total energy -12.8 eV for the cell shown. Number 4: density of states at the Fermi level 0.517 states/eV/atom, electronic total energy -21.4 eV for the cell shown. Number 5: density of states at the Fermi level 0.403 states/eV/atom, electronic total energy -47.2 eV for the cell shown. Number 6: density of states at the Fermi level 0.376 states/eV/atom, electronic total energy -16.7 eV for the cell shown. Number 7: density of states at the Fermi level 0.012 states/eV/atom, electronic total energy -15.3 eV for the cell shown. Number 8: density of states at the Fermi level 1.059 states/eV/atom, electronic total energy -35.3 eV for the cell shown. Number 9: density of states at the Fermi level 0.840 states/eV/atom, electronic total energy -44.6 eV for the cell shown. Number 10: density of states at the Fermi level 0.540 states/eV/atom, electronic total energy -13.1 eV for the cell shown. Number 11: density of states at the Fermi level 0.808 states/eV/atom, electronic total energy -33.7 eV for the cell shown. Number 12: density of states at the Fermi level 0.564 states/eV/atom, electronic total energy -131.2 eV for the cell shown. Number 13: density of states at the Fermi level 0.636 states/eV/atom, electronic total energy -17.5 eV for the cell shown. Number 14: density of states at the Fermi level 1.291 states/eV/atom, electronic total energy -48.6 eV for the cell shown.